Entry 1:
A crystal of Mg8Cd relaxed with PBEsol. Source: Alexandria, functional SCAN.

Summary:
DOS at the Fermi energy (states/eV/atom): 0.39
DFT total energy (eV per atom): -7.83
ΔH_f (0 K) (eV per atom): -0.0344

Cell lengths 4.4468, 7.0489, 7.0489 Å; angles 84.29, 71.61, 71.61 degrees
Fractional positions:
Mg 0.3359 0.0000 0.3283
Mg 0.0000 0.3309 0.6691
Mg 0.6691 0.3309 0.3309
Mg 0.6641 0.0000 0.6717
Mg 0.0000 0.6691 0.3309
Mg 0.6641 0.6717 0.0000
Mg 0.3309 0.6691 0.6691
Mg 0.3359 0.3283 0.0000
Cd 0.0000 0.0000 0.0000

***

Entry 2:
A crystal of Mg17Cd12 relaxed with PBEsol. Source: Alexandria, functional SCAN.

Summary:
DOS at the Fermi energy (states/eV/atom): 0.37
DFT total energy (eV per atom): -15.64
ΔH_f (0 K) (eV per atom): -0.1426

Cell lengths 9.2885, 9.2885, 9.2885 Å; angles 109.47, 109.47, 109.47 degrees
Fractional positions:
Mg 0.6565 0.6565 0.6565
Mg 0.3146 0.5948 0.0000
Mg 0.6854 0.2802 0.6854
Mg 0.3146 0.0000 0.5948
Mg 0.6854 0.6854 0.2802
Mg 0.2802 0.6854 0.6854
Mg 0.0000 0.0000 0.0000
Mg 0.7198 0.4052 0.4052
Mg 0.0000 0.3435 0.0000
Mg 0.3435 0.0000 0.0000
Mg 0.5948 0.3146 0.0000
Mg 0.5948 0.0000 0.3146
Mg 0.4052 0.7198 0.4052
Mg 0.0000 0.5948 0.3146
Mg 0.0000 0.3146 0.5948
Mg 0.0000 0.0000 0.3435
Mg 0.4052 0.4052 0.7198
Cd 0.8080 0.6210 0.0000
Cd 0.6210 0.8080 0.0000
Cd 0.3790 0.3790 0.1870
Cd 0.1870 0.3790 0.3790
Cd 0.8130 0.1920 0.1920
Cd 0.8080 0.0000 0.6210
Cd 0.0000 0.6210 0.8080
Cd 0.1920 0.8130 0.1920
Cd 0.3790 0.1870 0.3790
Cd 0.0000 0.8080 0.6210
Cd 0.6210 0.0000 0.8080
Cd 0.1920 0.1920 0.8130

***

Entry 3:
A crystal of MgCd3 relaxed with PBEsol. Source: Alexandria, functional SCAN.

Summary:
DOS at the Fermi energy (states/eV/atom): 0.31
DFT total energy (eV per atom): -24.13
ΔH_f (0 K) (eV per atom): -0.0745
Relative energy among the computed polymorphs (meV/atom): 18.6

Cell lengths 3.1237, 4.9988, 5.3068 Å; angles 90.00, 90.00, 90.00 degrees
Fractional positions:
Cd 0.0000 0.0000 0.0028
Cd 0.5000 0.5000 0.8296
Cd 0.5000 0.0000 0.4988
Mg 0.0000 0.5000 0.3354

***

Entry 4:
A crystal of MgCd3 relaxed with PBEsol. Source: Alexandria, functional SCAN.

Summary:
DOS at the Fermi energy (states/eV/atom): 0.34
DFT total energy (eV per atom): -24.10
ΔH_f (0 K) (eV per atom): -0.0477
Relative energy among the computed polymorphs (meV/atom): 45.3

Cell lengths 3.2099, 3.2099, 9.6787 Å; angles 80.45, 80.45, 60.00 degrees
Fractional positions:
Cd 0.2504 0.2504 0.2488
Cd 0.7496 0.7496 0.7512
Cd 0.5000 0.5000 0.5000
Mg 0.0000 0.0000 0.0000

***

DOS at the Fermi energy of number 2 (Mg17Cd12)?
0.37 states/eV/atom